ScCu4Se2 | Alexandria | PBE-GGA | relaxed; formation energy without anion corrections = 0.656 eV per atom; calculated volume = 147.9 Å³ per cell; DFT total energy = -3.5850 eV per atom; N(E_F) = 0.31 states/eV/atom
1.0
-0.327 1.005 -4.660
4.325 -1.904 -0.714
-0.721 -6.232 -3.743
Cu Sc Se
4 1 2
Cartesian
0.381 -3.889 -3.315 Cu
2.896 -3.241 -5.802 Cu
-0.163 0.502 -2.330 Cu
2.162 -0.952 -0.357 Cu
0.000 0.000 0.000 Sc
1.921 -5.314 -6.181 Se
1.356 -1.816 -2.937 Se